# SrMgAl

A relaxed SrMgAl crystal (GGA-PBEsol, Alexandria).

Total magnetic moment   0.00 μB per cell
Volume   27.84 Å³/atom
Formation energy   -0.09 eV per atom

Cell lengths 5.0577, 5.0577, 3.7700 Å; angles 90.00, 90.00, 120.00 degrees
Closest atoms and distances in Å follow each position.
Fractional coordinates of all 3 atoms:
Sr 0.0000 0.0000 0.0000  6 Mg 3.48, 6 Al 3.48, 2 Sr 3.77
Mg 0.6667 0.3333 0.5000  3 Al 2.92
Al 0.3333 0.6667 0.5000  3 Mg 2.92